Material: LaBiP3
Method: DFT, PBE
State: relaxed

abc: 5.171 5.171 5.171
angles: 90.00 90.00 90.00
Atoms (fractional coordinates):
La 0.000 0.000 0.000
Bi 0.500 0.500 0.500
P 0.000 0.500 0.500
P 0.500 0.000 0.500
P 0.500 0.500 0.000

Values from the calculation:
Space group: Pm-3m (221)
Energy relative to the lowest polymorph listed for this composition: 0.0 meV/atom
E_form: 356 meV per atom
Size of the total moment: 0.00 μB/f.u.